1.
DFT (GGA-PBE) results for PaGeRuSe after structural relaxation.

Density of states at the Fermi level ... 3.75 states/eV/f.u.
E_tot ... -7.500 eV/atom
Uncorrected formation energy ... -75.4 kJ/mol of atoms
Total moment ... 0.00 μB per cell

Lattice parameters (Å, degrees): 4.354 4.354 8.342 90.00 90.00 90.00
Positions (direct):
Se: 0.000 0.000 0.500
Se: 0.500 0.500 0.500
Ge: 0.500 0.000 0.155
Ge: 0.000 0.500 0.845
Ru: 0.000 0.000 0.000
Ru: 0.500 0.500 0.000
Pa: 0.000 0.500 0.264
Pa: 0.500 0.000 0.736

2.
DFT (GGA-PBE) results for UPaTcSb after structural relaxation.

Density of states at the Fermi level ... 8.33 states/eV/f.u.
E_tot ... -8.688 eV/atom
Uncorrected formation energy ... 12.5 kJ/mol of atoms
Total moment ... 4.20 μB per cell

Lattice parameters (Å, degrees): 4.939 4.939 4.939 60.00 60.00 60.00
Positions (direct):
U: 0.750 0.750 0.750
Pa: 0.000 0.000 0.000
Tc: 0.250 0.250 0.250
Sb: 0.500 0.500 0.500

3.
DFT (GGA-PBE) results for Pr2CdI after structural relaxation.

Density of states at the Fermi level ... 4.69 states/eV/f.u.
Energy above the lowest structure with this stoichiometry ... 0.00 eV/f.u.
E_tot ... -3.542 eV/atom
Uncorrected formation energy ... -51.7 kJ/mol of atoms
Total moment ... 0.24 μB per cell

Lattice parameters (Å, degrees): 3.774 3.774 8.601 90.00 90.00 90.00
Positions (direct):
I: 0.500 0.500 0.500
Pr: 0.000 0.000 0.235
Pr: 0.000 0.000 0.765
Cd: 0.500 0.500 0.000